Computed, not measured: an optimized crystal structure of BaAsH2 at the PBE-GGA level of DFT.

The structure belongs to space group Fm-3m (No. 225); the cell edges are 6.4905, 6.4905 and 6.4905 Å and the angles 90.00°, 90.00° and 90.00°. The distinct sites, in fractional coordinates, are Ba at (0.0000, 0.0000, 0.0000), As at (0.0000, 0.0000, 0.5000) and H at (0.2500, 0.2500, 0.2500).

The value obtained for the total moment is 0.00 μB/f.u. For the total DFT energy (no corrections), the calculation gives -13.2 eV/f.u. The calculation puts the energy relative to the lowest polymorph listed for this composition at 0.3496 eV/atom.


Computed, not measured: an optimized crystal structure of TmPu2TaN4 at the PBE-GGA level of DFT.

The structure belongs to space group P2/m (No. 10); the cell edges are 5.7895, 3.3367 and 5.8339 Å and the angles 90.00°, 109.24° and 90.00°. The distinct sites, in fractional coordinates, are Tm at (0.0000, 0.0000, 0.0000), Pu at (0.0000, 0.5000, 0.5000), Pu at (0.5000, 0.0000, 0.5000), Ta at (0.5000, 0.5000, 0.0000), N at (0.2652, 0.5000, 0.2306) and N at (0.2730, 0.0000, 0.7767).

The value obtained for the total moment is 0.37 μB/f.u. For the total DFT energy (no corrections), the calculation gives -89.2 eV/f.u. For the raw formation energy, the calculation gives -1368 meV/atom.


Computed, not measured: an optimized crystal structure of Ba3GaN3 at the PBE-GGA level of DFT.

The structure belongs to space group Pnma (No. 62); the cell edges are 12.6691, 3.8219 and 12.4225 Å and the angles 90.00°, 90.00° and 90.00°. The distinct sites, in fractional coordinates, are Ba at (0.0860, 0.2500, 0.1012), Ba at (0.1216, 0.7500, 0.5217), Ba at (0.2163, 0.7500, 0.8125), Ga at (0.0378, 0.2500, 0.7172), N at (0.0346, 0.2500, 0.3346), N at (0.0596, 0.2500, 0.8756) and N at (0.1871, 0.2500, 0.6526).

The value obtained for the total moment is 0.00 μB/f.u. For the total DFT energy (no corrections), the calculation gives -36.3 eV/f.u. For the raw formation energy, the calculation gives -367 meV/atom. The calculation puts the energy relative to the lowest polymorph listed for this composition at 0.1265 eV/atom.


Computed, not measured: an optimized crystal structure of SrRe2Cl at the PBE-GGA level of DFT.

The structure belongs to space group Imm2 (No. 44); the cell edges are 3.5790, 5.9982 and 9.0360 Å and the angles 90.00°, 90.00° and 90.00°. The distinct sites, in fractional coordinates, are Sr at (0.0000, 0.0000, 0.0000), Re at (0.0000, 0.0000, 0.4834), Re at (0.0000, 0.5000, 0.1523) and Cl at (0.0000, 0.5000, 0.7609).

The value obtained for the total moment is 0.00 μB/f.u. For the total DFT energy (no corrections), the calculation gives -26.3 eV/f.u. For the raw formation energy, the calculation gives 539 meV/atom. The calculation puts the energy relative to the lowest polymorph listed for this composition at 0.5573 eV/atom.


Computed, not measured: an optimized crystal structure of KTa2Os at the PBE-GGA level of DFT.

The structure belongs to space group Cmmm (No. 65); the cell edges are 5.9096, 9.6513 and 2.6915 Å and the angles 90.00°, 90.00° and 90.00°. The distinct sites, in fractional coordinates, are K at (0.0000, 0.0000, 0.0000), Ta at (0.2500, 0.2500, 0.5000) and Os at (0.0000, 0.5000, 0.0000).

The value obtained for the total moment is 0.00 μB/f.u. The formation energy from the elements comes out at 1.352 eV/atom. For the total DFT energy (no corrections), the calculation gives -30.6 eV/f.u. The calculation puts the energy relative to the lowest polymorph listed for this composition at 0.7723 eV/atom.


Computed, not measured: an optimized crystal structure of NaZnCd5 at the PBE-GGA level of DFT.

The structure belongs to space group Cmmm (No. 65); the cell edges are 5.8380, 8.9546 and 6.3993 Å and the angles 90.00°, 90.00° and 90.00°. The distinct sites, in fractional coordinates, are Na at (0.0000, 0.0000, 0.0000), Zn at (0.0000, 0.5000, 0.5000), Cd at (0.0000, 0.0000, 0.5000) and Cd at (0.2500, 0.2500, 0.2498).

The value obtained for the total moment is 0.00 μB/f.u. The formation energy from the elements comes out at 0.047 eV/atom. For the total DFT energy (no corrections), the calculation gives -6.8 eV/f.u.


Computed, not measured: an optimized crystal structure of TaWC2 at the PBE-GGA level of DFT.

The structure belongs to space group Immm (No. 71); the cell edges are 3.0039, 5.3989 and 6.1019 Å and the angles 90.00°, 90.00° and 90.00°. The distinct sites, in fractional coordinates, are Ta at (0.0000, 0.0000, 0.0000), W at (0.0000, 0.0000, 0.5000) and C at (0.0000, 0.5000, 0.2414).

The value obtained for the total moment is 0.00 μB/f.u. The formation energy from the elements comes out at 0.490 eV/atom. For the total DFT energy (no corrections), the calculation gives -41.3 eV/f.u. The calculation puts the energy relative to the lowest polymorph listed for this composition at 0.6476 eV/atom.


Computed, not measured: an optimized crystal structure of LiPm2Os2N6 at the PBE-GGA level of DFT.

The structure belongs to space group R-3m (No. 166, hexagonal axes); the cell edges are 5.6625, 5.6625 and 17.3209 Å and the angles 90.00°, 90.00° and 120.00°. The distinct sites, in fractional coordinates, are Li at (0.0000, 0.0000, 0.0000), Pm at (0.0000, 0.0000, 0.2082), Os at (0.0000, 0.0000, 0.3983) and N at (0.0129, 0.5065, 0.7623).

The value obtained for the total moment is 0.00 μB/f.u. For the total DFT energy (no corrections), the calculation gives -86.3 eV/f.u. For the raw formation energy, the calculation gives -227 meV/atom.


Computed, not measured: an optimized crystal structure of YThMn4 at the PBE-GGA level of DFT.

The structure belongs to space group F-43m (No. 216); the cell edges are 7.3892, 7.3892 and 7.3892 Å and the angles 90.00°, 90.00° and 90.00°. The distinct sites, in fractional coordinates, are Y at (0.0000, 0.0000, 0.0000), Th at (0.2500, 0.2500, 0.7500) and Mn at (0.1255, 0.1255, 0.3745).

The value obtained for the total moment is 7.43 μB/f.u. The formation energy from the elements comes out at 0.097 eV/atom. For the total DFT energy (no corrections), the calculation gives -50.0 eV/f.u.


Computed, not measured: an optimized crystal structure of TbCe2FeN4 at the PBE-GGA level of DFT.

The structure belongs to space group Cmcm (No. 63); the cell edges are 3.4292, 11.4667 and 11.6478 Å and the angles 90.00°, 90.00° and 90.00°. The distinct sites, in fractional coordinates, are Tb at (0.0000, 0.1090, 0.2500), Ce at (0.0000, 0.3680, 0.0555), Fe at (0.0000, 0.1540, 0.7500), N at (0.0000, 0.0000, 0.0000), N at (0.0000, 0.2704, 0.6284) and N at (0.0000, 0.4473, 0.2500).

The value obtained for the total moment is 2.38 μB/f.u. For the total DFT energy (no corrections), the calculation gives -67.1 eV/f.u. For the raw formation energy, the calculation gives -1103 meV/atom.


Computed, not measured: an optimized crystal structure of Dy5Pd3 at the PBE-GGA level of DFT.

The structure belongs to space group P4/ncc (No. 130, origin choice 2); the cell edges are 11.1526, 11.1526 and 6.3756 Å and the angles 90.00°, 90.00° and 90.00°. The distinct sites, in fractional coordinates, are Dy at (0.0412, 0.1606, 0.1293), Dy at (0.2500, 0.7500, 0.0000), Pd at (0.0948, 0.5948, 0.7500) and Pd at (0.2500, 0.2500, 0.3877).

The value obtained for the total moment is 0.00 μB/f.u. The formation energy from the elements comes out at -0.691 eV/atom. For the total DFT energy (no corrections), the calculation gives -44.1 eV/f.u.


Computed, not measured: an optimized crystal structure of PmGe2Pt at the PBE-GGA level of DFT.

The structure belongs to space group Fm-3m (No. 225); the cell edges are 6.8041, 6.8041 and 6.8041 Å and the angles 90.00°, 90.00° and 90.00°. The distinct sites, in fractional coordinates, are Pm at (0.0000, 0.0000, 0.0000), Ge at (0.2500, 0.2500, 0.2500) and Pt at (0.0000, 0.0000, 0.5000).

The value obtained for the total moment is 0.00 μB/f.u. The formation energy from the elements comes out at -0.420 eV/atom. For the total DFT energy (no corrections), the calculation gives -21.7 eV/f.u. The calculation puts the energy relative to the lowest polymorph listed for this composition at 0.4878 eV/atom.


Computed, not measured: an optimized crystal structure of Eu2ThAu at the PBE-GGA level of DFT.

The structure belongs to space group P4/mmm (No. 123); the cell edges are 3.6442, 3.6442 and 9.3121 Å and the angles 90.00°, 90.00° and 90.00°. The distinct sites, in fractional coordinates, are Eu at (0.0000, 0.0000, 0.2044), Th at (0.5000, 0.5000, 0.5000) and Au at (0.5000, 0.5000, 0.0000).

The value obtained for the total moment is 14.30 μB/f.u. The formation energy from the elements comes out at -0.258 eV/atom. For the total DFT energy (no corrections), the calculation gives -32.3 eV/f.u. The calculation puts the energy relative to the lowest polymorph listed for this composition at 0.0000 eV/atom.


Computed, not measured: an optimized crystal structure of TaSiSb at the PBE-GGA level of DFT.

The structure belongs to space group I4mm (No. 107); the cell edges are 2.9804, 2.9804 and 13.4354 Å and the angles 90.00°, 90.00° and 90.00°. The distinct sites, in fractional coordinates, are Ta at (0.0000, 0.0000, 0.0000), Si at (0.0000, 0.0000, 0.3641) and Sb at (0.0000, 0.0000, 0.6682).

The value obtained for the total moment is 0.00 μB/f.u. For the total DFT energy (no corrections), the calculation gives -20.5 eV/f.u. For the raw formation energy, the calculation gives 294 meV/atom.


Computed, not measured: an optimized crystal structure of Pr3Cd2Pd3 at the PBE-GGA level of DFT.

The structure belongs to space group Immm (No. 71); the cell edges are 3.6803, 5.1081 and 20.4126 Å and the angles 90.00°, 90.00° and 90.00°. The distinct sites, in fractional coordinates, are Pr at (0.0000, 0.0000, 0.0000), Pr at (0.0000, 0.5000, 0.1257), Cd at (0.0000, 0.0000, 0.2339), Pd at (0.0000, 0.0000, 0.5000) and Pd at (0.0000, 0.5000, 0.3768).

The value obtained for the total moment is 0.00 μB/f.u. The formation energy from the elements comes out at -0.547 eV/atom. For the total DFT energy (no corrections), the calculation gives -36.1 eV/f.u. The calculation puts the energy relative to the lowest polymorph listed for this composition at 0.0586 eV/atom.


Computed, not measured: an optimized crystal structure of ScGaCo2Mo at the PBE-GGA level of DFT.

The structure belongs to space group P4/mmm (No. 123); the cell edges are 4.1959, 4.1959 and 4.8990 Å and the angles 90.00°, 90.00° and 90.00°. The distinct sites, in fractional coordinates, are Sc at (0.0000, 0.0000, 0.0000), Ga at (0.0000, 0.0000, 0.5000), Co at (0.0000, 0.5000, 0.0000) and Mo at (0.5000, 0.5000, 0.5000).

The value obtained for the total moment is 2.70 μB/f.u. The formation energy from the elements comes out at 1.357 eV/atom. For the total DFT energy (no corrections), the calculation gives -27.6 eV/f.u.


Computed, not measured: an optimized crystal structure of CsSrF3 at the PBE-GGA level of DFT.

The structure belongs to space group Pm-3m (No. 221); the cell edges are 5.0270, 5.0270 and 5.0270 Å and the angles 90.00°, 90.00° and 90.00°. The distinct sites, in fractional coordinates, are Cs at (0.0000, 0.0000, 0.0000), Sr at (0.5000, 0.5000, 0.5000) and F at (0.0000, 0.0000, 0.5000).

The value obtained for the total moment is 0.00 μB/f.u. For the total DFT energy (no corrections), the calculation gives -19.4 eV/f.u. For the raw formation energy, the calculation gives -2242 meV/atom. The calculation puts the energy relative to the lowest polymorph listed for this composition at 1.1907 eV/atom.


Computed, not measured: an optimized crystal structure of NaTb4ThSe8 at the PBE-GGA level of DFT.

The structure belongs to space group R3m (No. 160, hexagonal axes); the cell edges are 8.4751, 8.4751 and 21.0766 Å and the angles 90.00°, 90.00° and 120.00°. The distinct sites, in fractional coordinates, are Na at (0.0000, 0.0000, 0.0000), Tb at (0.0000, 0.0000, 0.2563), Tb at (0.1724, 0.3448, 0.4602), Th at (0.0000, 0.0000, 0.6314), Se at (0.0000, 0.0000, 0.3877), Se at (0.0000, 0.0000, 0.8676), Se at (0.0234, 0.5117, 0.3819) and Se at (0.1757, 0.3513, 0.2075).

The value obtained for the total moment is 0.00 μB/f.u. For the total DFT energy (no corrections), the calculation gives -79.0 eV/f.u. For the raw formation energy, the calculation gives -1704 meV/atom.


Computed, not measured: an optimized crystal structure of MgAlW2 at the PBE-GGA level of DFT.

The structure belongs to space group Cmmm (No. 65); the cell edges are 5.4449, 8.7929 and 2.7132 Å and the angles 90.00°, 90.00° and 90.00°. The distinct sites, in fractional coordinates, are Mg at (0.0000, 0.0000, 0.0000), Al at (0.0000, 0.5000, 0.0000) and W at (0.2500, 0.2500, 0.5000).

The value obtained for the total moment is 0.00 μB/f.u. The formation energy from the elements comes out at 0.277 eV/atom. For the total DFT energy (no corrections), the calculation gives -30.1 eV/f.u. The calculation puts the energy relative to the lowest polymorph listed for this composition at 0.1249 eV/atom.


Computed, not measured: an optimized crystal structure of SrTiFe2 at the PBE-GGA level of DFT.

The structure belongs to space group I4_1/amd (No. 141, origin choice 2); the cell edges are 4.6624, 4.6624 and 15.8997 Å and the angles 90.00°, 90.00° and 90.00°. The distinct sites, in fractional coordinates, are Sr at (0.0000, 0.2500, 0.3750), Ti at (0.0000, 0.2500, 0.8750) and Fe at (0.0000, 0.0000, 0.0000).

The value obtained for the total moment is 0.00 μB/f.u. The formation energy from the elements comes out at 0.769 eV/atom. For the total DFT energy (no corrections), the calculation gives -23.4 eV/f.u. The calculation puts the energy relative to the lowest polymorph listed for this composition at 0.0000 eV/atom.


Computed, not measured: an optimized crystal structure of MgGaH2 at the PBE-GGA level of DFT.

The structure belongs to space group P3m1 (No. 156); the cell edges are 3.0787, 3.0787 and 6.0239 Å and the angles 90.00°, 90.00° and 120.00°. The distinct sites, in fractional coordinates, are Mg at (0.0000, 0.0000, 0.0000), Ga at (0.6667, 0.3333, 0.4859), H at (0.3333, 0.6667, 0.8688) and H at (0.6667, 0.3333, 0.1635).

The value obtained for the total moment is 0.00 μB/f.u. For the total DFT energy (no corrections), the calculation gives -11.3 eV/f.u. The calculation puts the energy relative to the lowest polymorph listed for this composition at 0.0391 eV/atom.


Computed, not measured: an optimized crystal structure of MgNiGeRu2 at the PBE-GGA level of DFT.

The structure belongs to space group P4/mmm (No. 123); the cell edges are 4.5605, 4.5605 and 4.7446 Å and the angles 90.00°, 90.00° and 90.00°. The distinct sites, in fractional coordinates, are Mg at (0.0000, 0.0000, 0.0000), Ni at (0.5000, 0.5000, 0.0000), Ge at (0.0000, 0.0000, 0.5000) and Ru at (0.0000, 0.5000, 0.5000).

The value obtained for the total moment is 0.00 μB/f.u. The formation energy from the elements comes out at 1.095 eV/atom. For the total DFT energy (no corrections), the calculation gives -25.1 eV/f.u.